(1)
Computed, not measured: an optimized crystal structure of LaSNF2 at the GGA-PBE level of DFT.

Calculated values
Distance to the lowest polymorph of the same formula (eV/atom): 0.0000
ρ (g/cm³): 3.354

Unit cell a=4.5417 b=4.5417 c=5.3516 alpha=90.00 beta=90.00 gamma=90.00
Space group P4/mmm (No. 123)
Unique sites:
La: 0.0000 0.0000 0.0000 x1
S: 0.5000 0.5000 0.5000 x1
N: 0.0000 0.0000 0.5000 x1
F: 0.0000 0.5000 0.0000 x2

=====

(2)
Computed, not measured: an optimized crystal structure of LaS2NF at the GGA-PBE level of DFT.

Calculated values
Distance to the lowest polymorph of the same formula (eV/atom): 0.0000
ρ (g/cm³): 4.603

Unit cell a=4.1364 b=4.1364 c=4.9766 alpha=90.00 beta=90.00 gamma=90.00
Space group P4/mmm (No. 123)
Unique sites:
La: 0.0000 0.0000 0.0000 x1
S: 0.0000 0.5000 0.5000 x2
N: 0.5000 0.5000 0.0000 x1
F: 0.5000 0.5000 0.5000 x1

=====

(3)
Computed, not measured: an optimized crystal structure of LaS2NF at the GGA-PBE level of DFT.

Calculated values
Distance to the lowest polymorph of the same formula (eV/atom): 0.4084
ρ (g/cm³): 2.620

Unit cell a=5.8783 b=5.8783 c=4.3300 alpha=90.00 beta=90.00 gamma=90.00
Space group P4/mmm (No. 123)
Unique sites:
La: 0.0000 0.0000 0.0000 x1
S: 0.0000 0.5000 0.0000 x2
N: 0.0000 0.0000 0.5000 x1
F: 0.5000 0.5000 0.5000 x1

=====

(4)
Computed, not measured: an optimized crystal structure of LaSNF2 at the GGA-PBE level of DFT.

Calculated values
Distance to the lowest polymorph of the same formula (eV/atom): 0.1341
ρ (g/cm³): 4.806

Unit cell a=4.7627 b=4.7627 c=3.3962 alpha=90.00 beta=90.00 gamma=90.00
Space group P4/mmm (No. 123)
Unique sites:
La: 0.0000 0.0000 0.0000 x1
S: 0.5000 0.5000 0.5000 x1
N: 0.5000 0.5000 0.0000 x1
F: 0.0000 0.5000 0.5000 x2

=====

(5)
Computed, not measured: an optimized crystal structure of LaSN2F at the GGA-PBE level of DFT.

Calculated values
Distance to the lowest polymorph of the same formula (eV/atom): 1.0222
ρ (g/cm³): 5.060

Unit cell a=4.2443 b=4.2443 c=3.9710 alpha=90.00 beta=90.00 gamma=90.00
Space group P4/mmm (No. 123)
Unique sites:
La: 0.0000 0.0000 0.0000 x1
S: 0.5000 0.5000 0.0000 x1
N: 0.0000 0.5000 0.5000 x2
F: 0.5000 0.5000 0.5000 x1

=====

(6)
Computed, not measured: an optimized crystal structure of LaSN2F at the GGA-PBE level of DFT.

Calculated values
Distance to the lowest polymorph of the same formula (eV/atom): 0.0000
ρ (g/cm³): 5.808

Unit cell a=3.8070 b=3.8070 c=4.3005 alpha=90.00 beta=90.00 gamma=90.00
Space group P4/mmm (No. 123)
Unique sites:
La: 0.0000 0.0000 0.0000 x1
S: 0.5000 0.5000 0.5000 x1
N: 0.0000 0.5000 0.5000 x2
F: 0.5000 0.5000 0.0000 x1

=====

(7)
Computed, not measured: an optimized crystal structure of LaSbN2F at the GGA-PBE level of DFT.

Calculated values
Distance to the lowest polymorph of the same formula (eV/atom): 0.0000
ρ (g/cm³): 6.871

Unit cell a=4.2149 b=4.2149 c=4.1855 alpha=90.00 beta=90.00 gamma=90.00
Space group P4/mmm (No. 123)
Unique sites:
La: 0.0000 0.0000 0.0000 x1
Sb: 0.5000 0.5000 0.5000 x1
N: 0.0000 0.5000 0.5000 x2
F: 0.5000 0.5000 0.0000 x1

=====

(8)
Computed, not measured: an optimized crystal structure of LaSbN2F at the GGA-PBE level of DFT.

Calculated values
Distance to the lowest polymorph of the same formula (eV/atom): 0.6409
ρ (g/cm³): 5.285

Unit cell a=4.6607 b=4.6607 c=4.4503 alpha=90.00 beta=90.00 gamma=90.00
Space group P4/mmm (No. 123)
Unique sites:
La: 0.0000 0.0000 0.0000 x1
Sb: 0.5000 0.5000 0.5000 x1
N: 0.0000 0.5000 0.0000 x2
F: 0.0000 0.0000 0.5000 x1

=====

(9)
Computed, not measured: an optimized crystal structure of LaSiN2F at the GGA-PBE level of DFT.

Calculated values
Distance to the lowest polymorph of the same formula (eV/atom): 0.0000
ρ (g/cm³): 6.387

Unit cell a=3.7773 b=3.7773 c=3.8992 alpha=90.00 beta=90.00 gamma=90.00
Space group P4/mmm (No. 123)
Unique sites:
La: 0.0000 0.0000 0.0000 x1
Si: 0.5000 0.5000 0.5000 x1
N: 0.0000 0.5000 0.5000 x2
F: 0.5000 0.5000 0.0000 x1

=====

(10)
Computed, not measured: an optimized crystal structure of LaSiN2F at the GGA-PBE level of DFT.

Calculated values
Distance to the lowest polymorph of the same formula (eV/atom): 1.6934
ρ (g/cm³): 3.860

Unit cell a=4.5148 b=4.5148 c=4.5159 alpha=90.00 beta=90.00 gamma=90.00
Space group P4/mmm (No. 123)
Unique sites:
La: 0.0000 0.0000 0.0000 x1
Si: 0.5000 0.5000 0.5000 x1
N: 0.0000 0.5000 0.0000 x2
F: 0.0000 0.0000 0.5000 x1

=====

(11)
Computed, not measured: an optimized crystal structure of La3SiN4F at the GGA-PBE level of DFT.

Calculated values
ρ (g/cm³): 6.452
Total DFT energy (no corrections) (eV/atom): -7.969

Unit cell a=9.9622 b=7.7447 c=6.9362 alpha=90.00 beta=90.00 gamma=90.00
Space group Pnma (No. 62)
Unique sites:
La: 0.0336 0.2500 0.0841 x4
La: 0.1620 0.0251 0.5996 x8
Si: 0.1062 0.7500 0.3084 x4
N: 0.0068 0.7500 0.5198 x4
N: 0.0770 0.5553 0.1903 x8
N: 0.2226 0.2500 0.8721 x4
F: 0.2250 0.7500 0.8383 x4

=====

(12)
Computed, not measured: an optimized crystal structure of LaSnN2F at the GGA-PBE level of DFT.

Calculated values
Distance to the lowest polymorph of the same formula (eV/atom): 0.0000
ρ (g/cm³): 6.885

Unit cell a=4.2086 b=4.2086 c=4.1480 alpha=90.00 beta=90.00 gamma=90.00
Space group P4/mmm (No. 123)
Unique sites:
La: 0.0000 0.0000 0.0000 x1
Sn: 0.5000 0.5000 0.5000 x1
N: 0.0000 0.5000 0.5000 x2
F: 0.5000 0.5000 0.0000 x1

=====

(13)
Computed, not measured: an optimized crystal structure of LaSnN2F at the GGA-PBE level of DFT.

Calculated values
Distance to the lowest polymorph of the same formula (eV/atom): 0.6369
ρ (g/cm³): 5.319

Unit cell a=4.5476 b=4.5476 c=4.5984 alpha=90.00 beta=90.00 gamma=90.00
Space group P4/mmm (No. 123)
Unique sites:
La: 0.0000 0.0000 0.0000 x1
Sn: 0.5000 0.5000 0.5000 x1
N: 0.0000 0.5000 0.0000 x2
F: 0.0000 0.0000 0.5000 x1

=====

(14)
Computed, not measured: an optimized crystal structure of LaSnNF2 at the GGA-PBE level of DFT.

Calculated values
Distance to the lowest polymorph of the same formula (eV/atom): 0.2904
ρ (g/cm³): 5.831

Unit cell a=4.5402 b=4.5402 c=4.2777 alpha=90.00 beta=90.00 gamma=90.00
Space group P4/mmm (No. 123)
Unique sites:
La: 0.0000 0.0000 0.0000 x1
Sn: 0.5000 0.5000 0.5000 x1
N: 0.5000 0.5000 0.0000 x1
F: 0.0000 0.5000 0.5000 x2

=====

(15)
Computed, not measured: an optimized crystal structure of LaSnNF2 at the GGA-PBE level of DFT.

Calculated values
Distance to the lowest polymorph of the same formula (eV/atom): 0.0000
ρ (g/cm³): 4.992

Unit cell a=4.6337 b=4.6337 c=4.7966 alpha=90.00 beta=90.00 gamma=90.00
Space group P4/mmm (No. 123)
Unique sites:
La: 0.0000 0.0000 0.0000 x1
Sn: 0.5000 0.5000 0.5000 x1
N: 0.0000 0.0000 0.5000 x1
F: 0.0000 0.5000 0.0000 x2

=====

(16)
Computed, not measured: an optimized crystal structure of SrLaNF2 at the GGA-PBE level of DFT.

Calculated values
Distance to the lowest polymorph of the same formula (eV/atom): 0.0000
ρ (g/cm³): 4.396

Unit cell a=4.6858 b=4.6858 c=4.7914 alpha=90.00 beta=90.00 gamma=90.00
Space group P4/mmm (No. 123)
Unique sites:
Sr: 0.0000 0.0000 0.0000 x1
La: 0.5000 0.5000 0.5000 x1
N: 0.5000 0.5000 0.0000 x1
F: 0.0000 0.5000 0.5000 x2

=====

(17)
Computed, not measured: an optimized crystal structure of SrLaN2F at the GGA-PBE level of DFT.

Calculated values
Distance to the lowest polymorph of the same formula (eV/atom): 0.0000
ρ (g/cm³): 4.759

Unit cell a=4.5180 b=4.5180 c=4.6755 alpha=90.00 beta=90.00 gamma=90.00
Space group P4/mmm (No. 123)
Unique sites:
Sr: 0.0000 0.0000 0.0000 x1
La: 0.5000 0.5000 0.5000 x1
N: 0.0000 0.5000 0.5000 x2
F: 0.5000 0.5000 0.0000 x1

=====

(18)
Computed, not measured: an optimized crystal structure of SrLaN2F at the GGA-PBE level of DFT.

Calculated values
Distance to the lowest polymorph of the same formula (eV/atom): 0.5036
ρ (g/cm³): 5.036

Unit cell a=4.5287 b=4.5287 c=4.3975 alpha=90.00 beta=90.00 gamma=90.00
Space group P4/mmm (No. 123)
Unique sites:
Sr: 0.0000 0.0000 0.0000 x1
La: 0.5000 0.5000 0.5000 x1
N: 0.0000 0.5000 0.0000 x2
F: 0.0000 0.0000 0.5000 x1

=====

(19)
Computed, not measured: an optimized crystal structure of SrLaNF2 at the GGA-PBE level of DFT.

Calculated values
Distance to the lowest polymorph of the same formula (eV/atom): 0.3306
ρ (g/cm³): 4.580

Unit cell a=4.3693 b=4.3693 c=5.2900 alpha=90.00 beta=90.00 gamma=90.00
Space group P4/mmm (No. 123)
Unique sites:
Sr: 0.0000 0.0000 0.0000 x1
La: 0.5000 0.5000 0.5000 x1
N: 0.0000 0.0000 0.5000 x1
F: 0.0000 0.5000 0.0000 x2

=====

(20)
Computed, not measured: an optimized crystal structure of LaTcNF2 at the GGA-PBE level of DFT.

Calculated values
Distance to the lowest polymorph of the same formula (eV/atom): 0.5194
ρ (g/cm³): 4.741

Unit cell a=4.5754 b=4.5754 c=4.8336 alpha=90.00 beta=90.00 gamma=90.00
Space group P4/mmm (No. 123)
Unique sites:
La: 0.0000 0.0000 0.0000 x1
Tc: 0.5000 0.5000 0.5000 x1
N: 0.0000 0.0000 0.5000 x1
F: 0.0000 0.5000 0.0000 x2